(1)
{
  "formula": "PmTlH8Ir2",
  "functional": "GGA-PBE",
  "state": "relaxed",
  "lattice": [[4.595, -2.424, 0.000], [4.595, 2.424, 0.000], [-2.007, 0.000, 5.485]],
  "species": ["Pm", "Tl", "H", "H", "H", "H", "H", "H", "H", "H", "Ir", "Ir"],
  "frac_coords": [[0.000, 0.000, 0.000], [0.500, 0.500, 0.500], [0.022, 0.578, 0.180], [0.084, 0.084, 0.444], [0.417, 0.417, 0.904], [0.422, 0.978, 0.820], [0.578, 0.022, 0.180], [0.583, 0.583, 0.096], [0.916, 0.916, 0.556], [0.978, 0.422, 0.820], [0.257, 0.257, 0.659], [0.743, 0.743, 0.341]],
  "energy_ev_per_fu": -53.114,
  "dos_ef_per_ev_atom": 0.0160
}

(2)
{
  "formula": "PmTmH8Ir2",
  "functional": "GGA-PBE",
  "state": "relaxed",
  "lattice": [[2.420, 1.397, 6.064], [-2.420, 1.397, 6.064], [0.000, -2.794, 6.064]],
  "species": ["Pm", "Tm", "H", "H", "H", "H", "H", "H", "H", "H", "Ir", "Ir"],
  "frac_coords": [[0.000, 0.000, 0.000], [0.500, 0.500, 0.500], [0.064, 0.391, 0.860], [0.140, 0.936, 0.609], [0.324, 0.324, 0.324], [0.391, 0.860, 0.064], [0.609, 0.140, 0.936], [0.676, 0.676, 0.676], [0.860, 0.064, 0.391], [0.936, 0.609, 0.140], [0.236, 0.236, 0.236], [0.764, 0.764, 0.764]],
  "energy_ev_per_fu": -57.104,
  "dos_ef_per_ev_atom": 0.1425
}

(3)
{
  "formula": "Pr2H8Ir",
  "functional": "GGA-PBE",
  "state": "relaxed",
  "lattice": [[6.811, -1.918, 0.000], [6.811, 1.918, 0.000], [-1.416, 0.000, 4.174]],
  "species": ["Pr", "Pr", "H", "H", "H", "H", "H", "H", "H", "H", "Ir"],
  "frac_coords": [[0.145, 0.145, 0.144], [0.855, 0.855, 0.856], [0.000, 0.000, 0.310], [0.000, 0.000, 0.690], [0.239, 0.239, 0.740], [0.392, 0.392, 0.614], [0.395, 0.395, 0.165], [0.605, 0.605, 0.835], [0.608, 0.608, 0.386], [0.761, 0.761, 0.260], [0.500, 0.500, 0.500]],
  "energy_ev_per_fu": -48.989,
  "dos_ef_per_ev_atom": 0.2542
}